A relaxed structure of Fe2MoRuN. Source: the Alexandria database, functional PBE. Values from VASP.

Geometry as Quantum ESPRESSO input:
```
&SYSTEM
  ibrav = 0, nat = 5, ntyp = 4
/
ATOMIC_SPECIES
Fe 55.84 Fe.upf
Mo 95.94 Mo.upf
Ru 101.07 Ru.upf
N 14.01 N.upf
CELL_PARAMETERS angstrom
3.8088 0.0000 0.0000
0.0000 3.8088 0.0000
0.0000 0.0000 4.0740
ATOMIC_POSITIONS crystal
Fe 0.0000 0.5000 0.0000
Fe 0.5000 0.0000 0.0000
Mo 0.0000 0.0000 0.5000
Ru 0.5000 0.5000 0.5000
N 0.0000 0.0000 0.0000
```

Summary:
Its formation energy (no corrections) is 0.01 eV/f.u. The symmetry is P4/mmm (123).